BeZn3Tc | PBE | relaxed

a = 4.7959 Å, b = 4.7959 Å, c = 4.7959 Å
α = 90.00°, β = 90.00°, γ = 90.00°
Site moments in Bohr magnetons follow the coordinates.
Fractional coordinates of all 5 atoms:
Tc: 0.0000 0.0000 0.0000  0.93
Zn: 0.0000 0.5000 0.0000  0.01
Zn: 0.0000 0.0000 0.5000  0.01
Zn: 0.5000 0.0000 0.0000  -0.02
Be: 0.5000 0.5000 0.5000  0.04

Output
**Density of states at the Fermi level**: 0.699 states/eV/atom
**E_form**: 1260 meV per atom
**M_tot**: 1.01 μB/cell
**Volume**: 110 Å³/cell

LaSnSe | PBE | relaxed

a = 4.8065 Å, b = 4.8065 Å, c = 9.8767 Å
α = 75.92°, β = 75.92°, γ = 60.00°
Fractional coordinates of all 6 atoms:
Sn: 0.8551 0.8551 0.4347
Sn: 0.1449 0.1449 0.5653
Se: 0.2948 0.2948 0.1155
Se: 0.7052 0.7052 0.8845
La: 0.5965 0.5965 0.2106
La: 0.4035 0.4035 0.7894

Output
**Density of states at the Fermi level**: 0.027 states/eV/atom
**M_tot**: 0.00 μB/cell
**Total energy**: -5.379 eV per atom
**Volume**: 190 Å³/cell

Tb3Nd2DyTe6 | PBE | relaxed

a = 4.3805 Å, b = 8.8844 Å, c = 9.8658 Å
α = 102.94°, β = 102.83°, γ = 90.00°
Fractional coordinates of all 12 atoms:
Te: 0.9968 0.2469 0.9935
Te: 0.0032 0.7531 0.0065
Te: 0.6639 0.0753 0.3278
Te: 0.6630 0.5893 0.3259
Te: 0.3370 0.4107 0.6741
Te: 0.3361 0.9247 0.6722
Nd: 0.8307 0.6632 0.6615
Nd: 0.1693 0.3368 0.3385
Tb: 0.8285 0.1655 0.6571
Tb: 0.1715 0.8345 0.3429
Tb: 0.5000 0.5000 0.0000
Dy: 0.5000 0.0000 0.0000

Output
**Density of states at the Fermi level**: 0.549 states/eV/atom
**M_tot**: 0.00 μB/cell
**Total energy**: -5.250 eV per atom
**Volume**: 364 Å³/cell

Na4DySc3Se8 | PBE | relaxed

a = 7.9924 Å, b = 8.3615 Å, c = 7.9935 Å
α = 118.58°, β = 120.00°, γ = 90.00°
Fractional coordinates of all 16 atoms:
Se: 0.7390 0.7167 0.4780
Se: 0.2697 0.2775 0.0235
Se: 0.7538 0.2775 0.0235
Se: 0.2462 0.7224 0.4924
Se: 0.2610 0.2833 0.5220
Se: 0.7303 0.7225 0.9765
Se: 0.7538 0.2776 0.5076
Se: 0.2462 0.7225 0.9765
Na: 0.0000 0.0000 0.5000
Na: 0.5000 0.0000 0.0000
Na: 0.5000 0.0000 0.5000
Na: 0.0000 0.0000 0.0000
Dy: 0.0000 0.5000 0.0000
Sc: 0.0000 0.5000 0.5000
Sc: 0.5000 0.5000 0.0000
Sc: 0.5000 0.5000 0.5000

Output
**M_tot**: 0.00 μB/cell
**Total energy**: -5.157 eV per atom
**Volume**: 386 Å³/cell

Li2In4Ir | PBE | relaxed

a = 4.6445 Å, b = 4.6445 Å, c = 7.8206 Å
α = 72.73°, β = 72.73°, γ = 60.00°
Fractional coordinates of all 7 atoms:
In: 0.8705 0.8705 0.3885
In: 0.1295 0.1295 0.6115
In: 0.6215 0.6215 0.1356
In: 0.3785 0.3785 0.8644
Li: 0.2561 0.2561 0.2318
Li: 0.7439 0.7439 0.7682
Ir: 0.0000 0.0000 0.0000

Output
**Density of states at the Fermi level**: 0.539 states/eV/atom
**E_form**: -208 meV per atom
**M_tot**: 0.00 μB/cell
**Volume**: 137 Å³/cell